Record 1
Density functional theory data (PBE) for a relaxed Pr4YTl5 crystal.

Cell lengths 3.863, 3.863, 19.971 Å; angles 90.00, 90.00, 90.00 degrees
Element x y z (fractional)
Pr  0.000  0.000  0.102
Pr  0.000  0.000  0.306
Pr  0.000  0.000  0.694
Pr  0.000  0.000  0.898
Y  0.000  0.000  0.500
Tl  0.500  0.500  0.000
Tl  0.500  0.500  0.204
Tl  0.500  0.500  0.408
Tl  0.500  0.500  0.592
Tl  0.500  0.500  0.796

Results
Formation enthalpy at 0 K in meV per atom: -393.9
Raw total energy in eV/cell: -41.4


Record 2
Density functional theory data (PBE) for a relaxed Pr12Y7Tl crystal.

Cell lengths 8.839, 8.839, 8.839 Å; angles 89.70, 89.70, 89.70 degrees
Element x y z (fractional)
Pr  0.007  0.356  0.883
Pr  0.117  0.993  0.644
Pr  0.235  0.629  0.764
Pr  0.236  0.765  0.371
Pr  0.356  0.883  0.007
Pr  0.371  0.236  0.765
Pr  0.629  0.764  0.235
Pr  0.644  0.117  0.993
Pr  0.764  0.235  0.629
Pr  0.765  0.371  0.236
Pr  0.883  0.007  0.356
Pr  0.993  0.644  0.117
Y  0.000  0.000  0.000
Y  0.123  0.354  0.441
Y  0.354  0.441  0.123
Y  0.441  0.123  0.354
Y  0.559  0.877  0.646
Y  0.646  0.559  0.877
Y  0.877  0.646  0.559
Tl  0.500  0.500  0.500

Results
Energy above the lowest structure with this stoichiometry in meV per atom: 0
Formation enthalpy at 0 K in meV per atom: 138.3
Raw total energy in eV/cell: -102.2


Record 3
Density functional theory data (PBE) for a relaxed Pr3Y4Tl crystal.

Cell lengths 3.668, 3.668, 19.416 Å; angles 90.00, 90.00, 90.00 degrees
Element x y z (fractional)
Pr  0.000  0.000  0.000
Pr  0.000  0.000  0.264
Pr  0.000  0.000  0.736
Y  0.500  0.500  0.131
Y  0.500  0.500  0.394
Y  0.500  0.500  0.606
Y  0.500  0.500  0.869
Tl  0.000  0.000  0.500

Results
Energy above the lowest structure with this stoichiometry in meV per atom: 0
Formation enthalpy at 0 K in meV per atom: -91.8
Raw total energy in eV/cell: -43.3


Number 1: magnetic moment 0.00 Bohr magnetons per cell, DOS(E_F) 8.448 states/eV/cell. Number 2: magnetic moment 1.56 Bohr magnetons per cell, DOS(E_F) 31.955 states/eV/cell. Number 3: magnetic moment 0.00 Bohr magnetons per cell, DOS(E_F) 10.193 states/eV/cell.